[1]
A geometry-optimized LiPr2Ru structure, computed with PBE.

Geometry as POSCAR:
```
LiPr2Ru
1.0
-0.446 -1.031 -3.900
-0.058 -3.915 -1.070
-8.817 -1.803 -0.627
Pr Li Ru
2 1 1
Direct
0.727 0.727 0.819
0.273 0.273 0.181
0.500 0.500 0.500
0.000 0.000 0.000
```

Values from the calculation:
Its formation energy is 0.019 eV/atom. For the size of the total moment, the calculation gives 0.0000 μB/atom. As for the space-group type: R-3m (166). The energy comes out at -5.168 eV per atom. The energy above the most stable polymorph in this dataset is 0.131 eV/atom.

***

[2]
A geometry-optimized LiPr2Ru structure, computed with PBE.

Geometry as POSCAR:
```
LiPr2Ru
1.0
3.551 0.000 0.000
0.000 3.551 0.000
0.000 0.000 8.329
Ru Pr Li
1 2 1
Direct
0.500 0.500 0.000
0.000 0.000 0.207
0.000 0.000 0.793
0.500 0.500 0.500
```

Values from the calculation:
Its formation energy is -0.064 eV/atom. For the size of the total moment, the calculation gives 0.0000 μB/atom. As for the space-group type: P4/mmm (123). The energy comes out at -5.252 eV per atom. The energy above the most stable polymorph in this dataset is 0.048 eV/atom.

***

[3]
A geometry-optimized LiPr2Ru structure, computed with PBE.

Geometry as POSCAR:
```
LiPr2Ru
1.0
4.115 0.000 0.000
2.057 3.564 0.000
2.057 1.188 8.391
Li Pr Ru
1 2 1
Direct
0.502 0.502 0.494
0.272 0.272 0.184
0.061 0.061 0.818
0.665 0.665 0.004
```

Values from the calculation:
Its formation energy is 0.010 eV/atom. For the size of the total moment, the calculation gives 0.0000 μB/atom. As for the space-group type: R3m (160). The energy comes out at -5.178 eV per atom. The energy above the most stable polymorph in this dataset is 0.122 eV/atom.

***

What did the second record say?
A geometry-optimized LiPr2Ru structure, computed with PBE.

Geometry as POSCAR:
```
LiPr2Ru
1.0
3.551 0.000 0.000
0.000 3.551 0.000
0.000 0.000 8.329
Ru Pr Li
1 2 1
Direct
0.500 0.500 0.000
0.000 0.000 0.207
0.000 0.000 0.793
0.500 0.500 0.500
```

Values from the calculation:
Its formation energy is -0.064 eV/atom. For the size of the total moment, the calculation gives 0.0000 μB/atom. As for the space-group type: P4/mmm (123). The energy comes out at -5.252 eV per atom. The energy above the most stable polymorph in this dataset is 0.048 eV/atom.